[1]
HfAgF2 | PBE-GGA | optimized geometry

```
4
Lattice="-6.830 -5.432 -5.526 -5.001 -7.600 -4.890 -7.099 -6.871 -3.014" Properties=species:S:1:pos:R:3 pbc="T T T"
Ag 0.000 0.000 0.000
F -2.218 -2.333 -1.574
F -16.711 -17.571 -11.856
Hf -9.465 -9.952 -6.715
```

Results
Raw formation energy   -7.364 eV per formula unit
Crystal system   trigonal
Density of states at the Fermi level   2.9 states/eV/cell
Distance to the lowest polymorph of the same formula   0.000 eV/atom
Spin magnetization   0.22 μB/f.u.

=====

[2]
Cr2PRh | PBE-GGA | optimized geometry

```
4
Lattice="3.796 0.000 0.000 0.000 2.700 0.008 0.000 2.070 4.807" Properties=species:S:1:pos:R:3 pbc="T T T"
Cr 0.000 0.172 0.158
Cr 0.000 2.212 2.250
Rh 1.898 3.577 3.611
P 1.898 1.192 1.204
```

Results
Crystal system   monoclinic
Density of states at the Fermi level   3.8 states/eV/cell
Energy of formation   -14.7 kJ per mole of atoms
Spin magnetization   0.00 μB/f.u.

=====

| no. | E_tot (eV/atom) |
| --- | --- |
| 1 | -5.978 |
| 2 | -8.154 |